(1)
4
Lattice="1.476 0.852 10.214 -1.476 0.852 10.214 0.000 -1.705 10.214" Properties=species:S:1:pos:R:3 comment="GaAg2As | Alexandria via LeMat-Bulk | GGA-PBE | relaxed" rho_g_cm3=7.76 crystal_system=trigonal delta_e_f_mev_per_atom=178 space_group="R-3m (166)" pbc="T T T"
Ga 0.000 0.000 0.000
Ag 0.000 0.000 2.686
Ag 0.000 0.000 27.956
As 0.000 0.000 15.321

---

(2)
5
Lattice="5.020 0.000 0.000 0.000 5.020 0.000 0.000 0.000 5.020" Properties=species:S:1:pos:R:3 comment="Ga3AgAs | Alexandria via LeMat-Bulk | GGA-PBE | relaxed" rho_g_cm3=5.15 crystal_system=cubic delta_e_f_mev_per_atom=463 space_group="Pm-3m (221)" pbc="T T T"
Ga 0.000 0.000 2.510
Ga 0.000 2.510 0.000
Ga 2.510 0.000 0.000
Ag 2.510 2.510 2.510
As 0.000 0.000 0.000

---

(3)
5
Lattice="-2.244 2.244 5.429 2.244 -2.244 5.429 2.244 2.244 -5.429" Properties=species:S:1:pos:R:3 comment="GaAg2As2 | Alexandria via LeMat-Bulk | GGA-PBE | relaxed" rho_g_cm3=6.61 crystal_system=tetragonal delta_e_f_mev_per_atom=135 space_group="I4/mmm (139)" pbc="T T T"
Ga 0.000 0.000 0.000
Ag 2.244 0.000 2.715
Ag 0.000 2.244 2.715
As 0.000 0.000 4.228
As 0.000 0.000 6.630

---

(4)
10
Lattice="8.134 0.000 0.000 0.000 8.134 0.000 0.000 0.000 2.845" Properties=species:S:1:pos:R:3 comment="Ga2Ag2As | Alexandria via LeMat-Bulk | GGA-PBE | relaxed" rho_g_cm3=7.59 crystal_system=tetragonal delta_e_f_mev_per_atom=151 space_group="P4/mbm (127)" pbc="T T T"
Ga 1.444 2.623 0.000
Ga 2.623 6.690 0.000
Ga 5.512 1.444 0.000
Ga 6.690 5.512 0.000
Ag 0.998 5.065 1.423
Ag 3.069 0.998 1.423
Ag 5.065 7.137 1.423
Ag 7.137 3.069 1.423
As 0.000 0.000 0.000
As 4.067 4.067 0.000

---

(5)
4
Lattice="0.000 3.347 3.347 3.347 0.000 3.347 3.347 3.347 0.000" Properties=species:S:1:pos:R:3 comment="GaAg2As | Alexandria via LeMat-Bulk | GGA-PBE | relaxed" rho_g_cm3=7.98 crystal_system=cubic delta_e_f_mev_per_atom=129 space_group="Fm-3m (225)" pbc="T T T"
Ga 0.000 0.000 0.000
Ag 1.674 1.674 1.674
Ag 5.021 5.021 5.021
As 3.347 3.347 3.347

---

(6)
10
Lattice="8.304 0.000 0.000 0.000 8.304 0.000 0.000 0.000 2.889" Properties=species:S:1:pos:R:3 comment="GaAg2As2 | Alexandria via LeMat-Bulk | GGA-PBE | relaxed" rho_g_cm3=7.26 crystal_system=tetragonal delta_e_f_mev_per_atom=182 space_group="P4/mbm (127)" pbc="T T T"
Ga 0.000 0.000 0.000
Ga 4.152 4.152 0.000
Ag 1.174 2.978 1.444
Ag 2.978 7.130 1.444
Ag 5.327 1.174 1.444
Ag 7.130 5.327 1.444
As 1.312 5.464 0.000
As 2.840 1.312 0.000
As 5.464 6.993 0.000
As 6.993 2.840 0.000

---

(7)
4
Lattice="1.480 0.854 10.376 -1.480 0.854 10.376 0.000 -1.708 10.376" Properties=species:S:1:pos:R:3 comment="GaAgAs2 | Alexandria via LeMat-Bulk | GGA-PBE | relaxed" rho_g_cm3=6.91 crystal_system=trigonal delta_e_f_mev_per_atom=236 space_group="R-3m (166)" pbc="T T T"
Ga 0.000 0.000 0.000
Ag 0.000 0.000 15.564
As 0.000 0.000 12.896
As 0.000 0.000 18.232

---

(8)
5
Lattice="4.943 0.000 0.000 0.000 4.943 0.000 0.000 0.000 4.943" Properties=species:S:1:pos:R:3 comment="Ga3AgAs | Alexandria via LeMat-Bulk | GGA-PBE | relaxed" rho_g_cm3=5.39 crystal_system=cubic delta_e_f_mev_per_atom=432 space_group="Pm-3m (221)" pbc="T T T"
Ga 0.000 0.000 2.471
Ga 0.000 2.471 0.000
Ga 2.471 0.000 0.000
Ag 0.000 0.000 0.000
As 2.471 2.471 2.471